## CuNiAs2Se (PBE-GGA)

Data for crystalline CuNiAs2Se at its relaxed geometry.

Cell lengths 4.4951, 4.4951, 4.9736 Å; angles 90.00, 90.00, 90.00 degrees
Fractional coordinates of all 5 atoms:
Ni1 0.0000 0.0000 0.0000
Se1 0.0000 0.0000 0.5000
As1 0.5000 0.0000 0.0000
As2 0.0000 0.5000 0.0000
Cu1 0.5000 0.5000 0.5000

Results
* formation energy without anion corrections: 0.57 eV/atom
* calculated density: 5.80 g/cm³
* V: 100.5 Å³/cell